The following is a DFT calculation (PBE) of crystalline Sr2Ca9Hg3 at its relaxed geometry.

Cell: 10.0777 10.0777 13.5800 Å, 113.79 113.79 57.04°
With the nearest neighbours (Å) after each atom.
Fractional coordinates of all 28 atoms:
Sr 0.1110 0.2675 0.2544  11 Ca 3.81-4.11, 1 Hg 3.86
Sr 0.2675 0.1110 0.7544  11 Ca 3.81-4.11, 1 Hg 3.86
Sr 0.7325 0.8890 0.2456  11 Ca 3.81-4.11, 1 Hg 3.86
Sr 0.8890 0.7325 0.7456  11 Ca 3.81-4.11, 1 Hg 3.86
Ca 0.0244 0.0888 0.9160  1 Hg 3.14
Ca 0.0888 0.0244 0.4160  1 Hg 3.14
Ca 0.1876 0.3598 0.5692  3 Hg 3.24-3.34, 2 Ca 3.57-3.61
Ca 0.1931 0.5926 0.2516  2 Hg 3.12-3.22
Ca 0.2948 0.5146 0.9603  3 Hg 3.31-3.43, 1 Ca 3.70
Ca 0.3272 0.6728 0.7500  2 Hg 3.28
Ca 0.3598 0.1876 0.0692  3 Hg 3.24-3.34, 2 Ca 3.57-3.61
Ca 0.4074 0.8069 0.2484  2 Hg 3.12-3.22
Ca 0.4854 0.7052 0.5397  3 Hg 3.31-3.43, 1 Ca 3.70
Ca 0.5146 0.2948 0.4603  3 Hg 3.31-3.43, 1 Ca 3.70
Ca 0.5926 0.1931 0.7516  2 Hg 3.12-3.22
Ca 0.6402 0.8124 0.9308  3 Hg 3.24-3.34, 2 Ca 3.57-3.61
Ca 0.6728 0.3272 0.2500  2 Hg 3.28
Ca 0.7052 0.4854 0.0397  3 Hg 3.31-3.43, 1 Ca 3.70
Ca 0.8069 0.4074 0.7484  2 Hg 3.12-3.22
Ca 0.8124 0.6402 0.4308  3 Hg 3.24-3.34, 2 Ca 3.57-3.61
Ca 0.9112 0.9756 0.5840  1 Hg 3.14
Ca 0.9756 0.9112 0.0840  1 Hg 3.14
Hg 0.0000 0.5000 0.0000  6 Ca 3.22-3.34
Hg 0.1655 0.6292 0.4829  7 Ca 3.12-3.43
Hg 0.3708 0.8345 0.0171  7 Ca 3.12-3.43
Hg 0.5000 0.0000 0.5000  6 Ca 3.22-3.34
Hg 0.6292 0.1655 0.9829  7 Ca 3.12-3.43
Hg 0.8345 0.3708 0.5171  7 Ca 3.12-3.43

## Properties
Calculated density ... 3.7 g cm⁻³
Symmetry ... No. 15
Total moment ... 0.00 μB/f.u.
Electronic total energy ... -1.8150 eV/atom
ΔE_f ... -3.13 eV per formula unit